Entry 1:
Entry from the Alexandria database: a geometry-optimized Cs2V3PbF12 structure (GGA+U).

```
data_Cs2V3PbF12
_space_group_name_H-M_alt 'R -3 m'
_space_group_IT_number 166
_space_group_name_Hall '-R 3 2"'
_cell_length_a 7.7220
_cell_length_b 7.7220
_cell_length_c 18.9205
_cell_angle_alpha 90.00
_cell_angle_beta 90.00
_cell_angle_gamma 120.00
loop_
_atom_site_label
_atom_site_type_symbol
_atom_site_fract_x
_atom_site_fract_y
_atom_site_fract_z
Cs1 Cs 0.0000 0.0000 0.1161
V1 V 0.0000 0.5000 0.0000
Pb1 Pb 0.0000 0.0000 0.5000
F1 F 0.0029 0.5014 0.1057
F2 F 0.0767 0.5384 0.3319
```

Computed properties:
As for the density of states at the Fermi level: 4.499 states/eV/f.u. For the volume, the calculation gives 977.07 Å³ per cell. For the magnetization, the calculation gives 21.0 Bohr magnetons per cell. As for the total energy: -302.00 eV/cell.

Entry 2:
Entry from the Alexandria database: a geometry-optimized CsVPb2F8 structure (GGA+U).

```
data_CsVPb2F8
_space_group_name_H-M_alt 'P -1'
_space_group_IT_number 2
_space_group_name_Hall '-P 1'
_cell_length_a 5.4834
_cell_length_b 5.7061
_cell_length_c 7.6561
_cell_angle_alpha 84.02
_cell_angle_beta 69.36
_cell_angle_gamma 82.89
loop_
_atom_site_label
_atom_site_type_symbol
_atom_site_fract_x
_atom_site_fract_y
_atom_site_fract_z
Cs1 Cs 0.0000 0.0000 0.0000
V1 V 0.0000 0.0000 0.5000
Pb1 Pb 0.3935 0.4688 0.2735
F1 F 0.0608 0.2745 0.6097
F2 F 0.2337 0.7876 0.6006
F3 F 0.2532 0.5047 0.0174
F4 F 0.3114 0.0710 0.2649
```

Computed properties:
As for the density of states at the Fermi level: 0.000 states/eV/f.u. For the volume, the calculation gives 221.98 Å³ per cell. For the magnetization, the calculation gives 2.0 Bohr magnetons per cell. As for the total energy: -62.06 eV/cell.

Entry 3:
Entry from the Alexandria database: a geometry-optimized CsPbWF6 structure (GGA+U).

```
data_CsPbWF6
_space_group_name_H-M_alt 'I m m a'
_space_group_IT_number 74
_space_group_name_Hall '-I 2b 2'
_cell_length_a 7.9891
_cell_length_b 8.2860
_cell_length_c 11.2209
_cell_angle_alpha 90.00
_cell_angle_beta 90.00
_cell_angle_gamma 90.00
loop_
_atom_site_label
_atom_site_type_symbol
_atom_site_fract_x
_atom_site_fract_y
_atom_site_fract_z
Cs1 Cs 0.0000 0.2500 0.1038
Pb1 Pb 0.0000 0.0000 0.5000
W1 W 0.2500 0.2500 0.7500
F1 F 0.0000 0.2500 0.3878
F2 F 0.0000 0.2500 0.6859
F3 F 0.2293 0.0709 0.8824
```

Computed properties:
As for the density of states at the Fermi level: 0.000 states/eV/f.u. For the volume, the calculation gives 742.80 Å³ per cell. For the magnetization, the calculation gives 12.0 Bohr magnetons per cell. As for the total energy: -185.35 eV/cell.